[1]
A plane-wave DFT calculation with SCAN was carried out for a crystal of La3HgC relaxed with PBEsol.

Cell: 5.130 5.130 5.130 Å, 90.00 90.00 90.00°
Space group Pm-3m (No. 221)
Symmetry-distinct sites (fractional):
La: 0.000 0.000 0.500 x3
Hg: 0.500 0.500 0.500 x1
C: 0.000 0.000 0.000 x1

=====

[2]
A plane-wave DFT calculation with SCAN was carried out for a crystal of La2YHgC relaxed with PBEsol.

Cell: 5.168 5.168 4.805 Å, 90.00 90.00 90.00°
Space group P4/mmm (No. 123)
Symmetry-distinct sites (fractional):
La: 0.000 0.500 0.000 x2
Y: 0.000 0.000 0.500 x1
Hg: 0.500 0.500 0.500 x1
C: 0.000 0.000 0.000 x1

=====

[3]
A plane-wave DFT calculation with SCAN was carried out for a crystal of MgHgC2 relaxed with PBEsol.

Cell: 5.855 5.855 5.855 Å, 90.00 90.00 90.00°
Space group Fm-3m (No. 225)
Symmetry-distinct sites (fractional):
Mg: 0.000 0.000 0.000 x4
Hg: 0.000 0.000 0.500 x4
C: 0.250 0.250 0.250 x8

=====

[4]
A plane-wave DFT calculation with SCAN was carried out for a crystal of Mg3HgC relaxed with PBEsol.

Cell: 5.134 5.134 5.134 Å, 90.00 90.00 90.00°
Space group Pm-3m (No. 221)
Symmetry-distinct sites (fractional):
Mg: 0.000 0.000 0.500 x3
Hg: 0.000 0.000 0.000 x1
C: 0.500 0.500 0.500 x1

=====

[5]
A plane-wave DFT calculation with SCAN was carried out for a crystal of Y2MgHgC relaxed with PBEsol.

Cell: 4.898 4.898 4.315 Å, 90.00 90.00 90.00°
Space group P4/mmm (No. 123)
Symmetry-distinct sites (fractional):
Y: 0.000 0.500 0.000 x2
Mg: 0.000 0.000 0.500 x1
Hg: 0.500 0.500 0.500 x1
C: 0.000 0.000 0.000 x1

=====

[6]
A plane-wave DFT calculation with SCAN was carried out for a crystal of Mn2SnHgC relaxed with PBEsol.

Cell: 5.002 5.002 5.288 Å, 90.00 90.00 90.00°
Space group P4/mmm (No. 123)
Symmetry-distinct sites (fractional):
Mn: 0.000 0.500 0.000 x2
Sn: 0.000 0.000 0.500 x1
Hg: 0.000 0.000 0.000 x1
C: 0.500 0.500 0.500 x1

=====

| no. | formation enthalpy at 0 K (eV/atom) |
| --- | --- |
| 1 | -0.373 |
| 2 | -0.433 |
| 3 | 2.002 |
| 4 | 1.235 |
| 5 | -0.487 |
| 6 | 1.799 |